Material: KVHF6
Method: DFT, PBE with a Hubbard U
State: relaxed

CIF file:
```
data_KVHF6
_cell_length_a 4.9159
_cell_length_b 5.4300
_cell_length_c 5.6303
_cell_angle_alpha 90.79
_cell_angle_beta 113.51
_cell_angle_gamma 93.38
_space_group_name_H-M_alt 'P 1'
_space_group_IT_number 1
_space_group_name_Hall 'P 1'
loop_
_atom_site_label
_atom_site_type_symbol
_atom_site_fract_x
_atom_site_fract_y
_atom_site_fract_z
K1 K 0.0000 0.0000 0.0000
V1 V 0.3632 0.5174 0.6065
H1 H 0.8041 0.7267 0.4431
F1 F 0.1224 0.2728 0.6539
F2 F 0.3493 0.3664 0.3130
F3 F 0.3751 0.7528 0.8466
F4 F 0.6284 0.7814 0.5162
F5 F 0.6999 0.3952 0.8400
F6 F 0.9907 0.6882 0.3735
```

Values from the calculation:
Electronic total energy: -5.12 eV/atom
Theoretical density: 2.5 g cm⁻³
V: 137 Å³/cell